[1]
Here is RbCd9In2 after structural relaxation from Alexandria via LeMat-Bulk. Energies are from PBE.

The space group is I4_1/amd (No. 141, origin choice 2) and the conventional cell measures 12.228, 12.228 and 8.297 Å, with angles of 90.00, 90.00 and 90.00 degrees. The inequivalent atoms are Rb at (0.000, 0.250, 0.375), Cd at (0.000, 0.250, 0.875), Cd at (0.121, 0.044, 0.671) and In at (0.000, 0.000, 0.000).

The formation energy comes out at -0.0409 eV/atom. The value obtained for the raw total energy is -15.17 eV per formula unit. For the total magnetic moment, the calculation gives 0.00 μB per cell. The energy above the lowest structure with this stoichiometry is 0.000 eV per atom.

---

[2]
Here is HoAl2ZnPt4 after structural relaxation from Alexandria via LeMat-Bulk. Energies are from PBE.

The space group is R-3m (No. 166, hexagonal axes) and the conventional cell measures 4.2855, 4.2855 and 25.5672 Å, with angles of 90.00, 90.00 and 120.00 degrees. The inequivalent atoms are Ho at (0.0000, 0.0000, 0.0000), Al at (0.0000, 0.0000, 0.2416), Zn at (0.0000, 0.0000, 0.5000), Pt at (0.0000, 0.0000, 0.1322) and Pt at (0.0000, 0.0000, 0.4002).

The formation energy comes out at -0.9644 eV/atom. The value obtained for the raw total energy is -45.22 eV per formula unit. For the total magnetic moment, the calculation gives 0.00 μB per cell.

---

[3]
Here is SiAsH2 after structural relaxation from Alexandria via LeMat-Bulk. Energies are from PBE.

The space group is Pnna (No. 52) and the conventional cell measures 4.380, 3.810 and 12.386 Å, with angles of 90.00, 90.00 and 90.00 degrees. The inequivalent atoms are Si at (0.250, 0.000, 0.064), As at (0.052, 0.250, 0.250) and H at (0.085, 0.234, 0.964).

The value obtained for the raw total energy is -15.50 eV per formula unit. For the total magnetic moment, the calculation gives 0.00 μB per cell. The energy above the lowest structure with this stoichiometry is 0.063 eV per atom.

---

[4]
Here is RbP2Ir after structural relaxation from Alexandria via LeMat-Bulk. Energies are from PBE.

The space group is Fm-3m (No. 225) and the conventional cell measures 6.607, 6.607 and 6.607 Å, with angles of 90.00, 90.00 and 90.00 degrees. The inequivalent atoms are Rb at (0.000, 0.000, 0.000), P at (0.250, 0.250, 0.250) and Ir at (0.000, 0.000, 0.500).

The formation energy comes out at 0.7496 eV/atom. The value obtained for the raw total energy is -17.65 eV per formula unit. For the total magnetic moment, the calculation gives 0.00 μB per cell. The energy above the lowest structure with this stoichiometry is 0.989 eV per atom.

---

[5]
Here is Sm2CuAs after structural relaxation from Alexandria via LeMat-Bulk. Energies are from PBE.

The space group is P4/mmm (No. 123) and the conventional cell measures 4.948, 4.948 and 3.750 Å, with angles of 90.00, 90.00 and 90.00 degrees. The inequivalent atoms are Sm at (0.000, 0.500, 0.000), Cu at (0.000, 0.000, 0.500) and As at (0.500, 0.500, 0.500).

The formation energy comes out at -0.6560 eV/atom. The value obtained for the raw total energy is -20.81 eV per formula unit. For the total magnetic moment, the calculation gives 0.00 μB per cell. The energy above the lowest structure with this stoichiometry is 0.041 eV per atom.

---

[6]
Here is InIr2Rh after structural relaxation from Alexandria via LeMat-Bulk. Energies are from PBE.

The space group is P4/mmm (No. 123) and the conventional cell measures 2.857, 2.857 and 7.736 Å, with angles of 90.00, 90.00 and 90.00 degrees. The inequivalent atoms are In at (0.000, 0.000, 0.000), Ir at (0.500, 0.500, 0.267) and Rh at (0.000, 0.000, 0.500).

The formation energy comes out at 0.0833 eV/atom. The value obtained for the raw total energy is -27.48 eV per formula unit. For the total magnetic moment, the calculation gives 0.00 μB per cell.

---

[7]
Here is Ho4ScAg after structural relaxation from Alexandria via LeMat-Bulk. Energies are from PBE.

The space group is P4/mmm (No. 123) and the conventional cell measures 3.488, 3.488 and 13.593 Å, with angles of 90.00, 90.00 and 90.00 degrees. The inequivalent atoms are Ho at (0.000, 0.000, 0.143), Ho at (0.500, 0.500, 0.330), Sc at (0.000, 0.000, 0.500) and Ag at (0.500, 0.500, 0.000).

The formation energy comes out at -0.0673 eV/atom. The value obtained for the raw total energy is -27.90 eV per formula unit. For the total magnetic moment, the calculation gives 0.00 μB per cell. The energy above the lowest structure with this stoichiometry is 0.000 eV per atom.

---

[8]
Here is GeTe2C after structural relaxation from Alexandria via LeMat-Bulk. Energies are from PBE.

The space group is I-42d (No. 122) and the conventional cell measures 6.658, 6.658 and 8.953 Å, with angles of 90.00, 90.00 and 90.00 degrees. The inequivalent atoms are Ge at (0.000, 0.000, 0.000), Te at (0.177, 0.250, 0.625) and C at (0.000, 0.000, 0.500).

The value obtained for the raw total energy is -15.92 eV per formula unit. For the total magnetic moment, the calculation gives 0.00 μB per cell. The formation energy (no corrections) is 1051 meV/atom. The energy above the lowest structure with this stoichiometry is 0.000 eV per atom.

---

[9]
Here is BaLaAu after structural relaxation from Alexandria via LeMat-Bulk. Energies are from PBE.

The space group is F-43m (No. 216) and the conventional cell measures 7.685, 7.685 and 7.685 Å, with angles of 90.00, 90.00 and 90.00 degrees. The inequivalent atoms are Ba at (0.000, 0.000, 0.000), La at (0.000, 0.000, 0.500) and Au at (0.250, 0.250, 0.750).

The formation energy comes out at -0.2867 eV/atom. The value obtained for the raw total energy is -10.99 eV per formula unit. For the total magnetic moment, the calculation gives 0.01 μB per cell. The energy above the lowest structure with this stoichiometry is 0.169 eV per atom.

---

[10]
Here is MoPb2W after structural relaxation from Alexandria via LeMat-Bulk. Energies are from PBE.

The space group is Immm (No. 71) and the conventional cell measures 3.439, 5.143 and 9.290 Å, with angles of 90.00, 90.00 and 90.00 degrees. The inequivalent atoms are Mo at (0.000, 0.000, 0.000), Pb at (0.000, 0.500, 0.251) and W at (0.000, 0.000, 0.500).

The formation energy comes out at 1.1203 eV/atom. The value obtained for the raw total energy is -26.72 eV per formula unit. For the total magnetic moment, the calculation gives 0.00 μB per cell. The energy above the lowest structure with this stoichiometry is 0.710 eV per atom.

---

[11]
Here is FeCo2Ag after structural relaxation from Alexandria via LeMat-Bulk. Energies are from PBE.

The space group is R3m (No. 160, hexagonal axes) and the conventional cell measures 2.6209, 2.6209 and 26.1882 Å, with angles of 90.00, 90.00 and 120.00 degrees. The inequivalent atoms are Fe at (0.0000, 0.0000, 0.0000), Co at (0.0000, 0.0000, 0.4846), Co at (0.0000, 0.0000, 0.7447) and Ag at (0.0000, 0.0000, 0.2419).

The formation energy comes out at 0.2688 eV/atom. The value obtained for the raw total energy is -24.45 eV per formula unit. For the total magnetic moment, the calculation gives 17.45 μB per cell. The energy above the lowest structure with this stoichiometry is 0.054 eV per atom.

---

[12]
Here is Tc2HgW after structural relaxation from Alexandria via LeMat-Bulk. Energies are from PBE.

The space group is I-42d (No. 122) and the conventional cell measures 7.308, 7.308 and 5.534 Å, with angles of 90.00, 90.00 and 90.00 degrees. The inequivalent atoms are Tc at (0.203, 0.250, 0.125), Hg at (0.000, 0.000, 0.500) and W at (0.000, 0.000, 0.000).

The formation energy comes out at 0.9398 eV/atom. The value obtained for the raw total energy is -30.23 eV per formula unit. For the total magnetic moment, the calculation gives 0.00 μB per cell.

---

[13]
Here is AlTeSe2Br after structural relaxation from Alexandria via LeMat-Bulk. Energies are from PBE.

The space group is P4/mmm (No. 123) and the conventional cell measures 5.047, 5.047 and 4.829 Å, with angles of 90.00, 90.00 and 90.00 degrees. The inequivalent atoms are Al at (0.000, 0.000, 0.000), Te at (0.500, 0.500, 0.500), Se at (0.000, 0.500, 0.000) and Br at (0.000, 0.000, 0.500).

The value obtained for the raw total energy is -15.61 eV per formula unit. For the total magnetic moment, the calculation gives 0.00 μB per cell. The formation energy (no corrections) is -17 meV/atom. The energy above the lowest structure with this stoichiometry is 0.000 eV per atom.

---

[14]
Here is Li3CdGa2 after structural relaxation from Alexandria via LeMat-Bulk. Energies are from PBE.

The space group is Pmma (No. 51) and the conventional cell measures 5.867, 4.019 and 8.715 Å, with angles of 90.00, 90.00 and 90.00 degrees. The inequivalent atoms are Li at (0.003, 0.000, 0.178), Li at (0.250, 0.500, 0.654), Cd at (0.250, 0.500, 0.004), Ga at (0.000, 0.000, 0.500) and Ga at (0.250, 0.500, 0.336).

The formation energy comes out at -0.2444 eV/atom. The value obtained for the raw total energy is -14.18 eV per formula unit. For the total magnetic moment, the calculation gives 0.00 μB per cell. The energy above the lowest structure with this stoichiometry is 0.021 eV per atom.

---

[15]
Here is AlH2Ru after structural relaxation from Alexandria via LeMat-Bulk. Energies are from PBE.

The space group is I-42d (No. 122) and the conventional cell measures 3.819, 3.819 and 9.766 Å, with angles of 90.00, 90.00 and 90.00 degrees. The inequivalent atoms are Al at (0.000, 0.000, 0.000), H at (0.206, 0.250, 0.625) and Ru at (0.000, 0.000, 0.500).

The value obtained for the raw total energy is -19.60 eV per formula unit. For the total magnetic moment, the calculation gives 0.00 μB per cell. The energy above the lowest structure with this stoichiometry is 0.000 eV per atom.

---

[16]
Here is PrBeSe after structural relaxation from Alexandria via LeMat-Bulk. Energies are from PBE.

The space group is C2/m (No. 12) and the conventional cell measures 7.894, 4.903 and 8.111 Å, with angles of 90.00, 108.88 and 90.00 degrees. The inequivalent atoms are Pr at (0.077, 0.000, 0.230), Be at (0.162, 0.500, 0.031) and Se at (0.231, 0.000, 0.656).

The value obtained for the raw total energy is -14.29 eV per formula unit. For the total magnetic moment, the calculation gives 0.00 μB per cell. The formation energy (no corrections) is -767 meV/atom.

---

[17]
Here is Tl2CoRu after structural relaxation from Alexandria via LeMat-Bulk. Energies are from PBE.

The space group is Imm2 (No. 44) and the conventional cell measures 3.027, 4.597 and 11.328 Å, with angles of 90.00, 90.00 and 90.00 degrees. The inequivalent atoms are Tl at (0.000, 0.000, 0.000), Tl at (0.000, 0.500, 0.223), Co at (0.000, 0.500, 0.814) and Ru at (0.000, 0.000, 0.492).

The formation energy comes out at 0.6021 eV/atom. The value obtained for the raw total energy is -18.71 eV per formula unit. For the total magnetic moment, the calculation gives 4.35 μB per cell. The energy above the lowest structure with this stoichiometry is 0.138 eV per atom.

---

[18]
Here is LuCdRh2 after structural relaxation from Alexandria via LeMat-Bulk. Energies are from PBE.

The space group is P4/mmm (No. 123) and the conventional cell measures 3.321, 3.321 and 6.431 Å, with angles of 90.00, 90.00 and 90.00 degrees. The inequivalent atoms are Lu at (0.000, 0.000, 0.000), Cd at (0.000, 0.000, 0.500) and Rh at (0.500, 0.500, 0.251).

The formation energy comes out at -0.6127 eV/atom. The value obtained for the raw total energy is -22.59 eV per formula unit. For the total magnetic moment, the calculation gives 0.00 μB per cell. The energy above the lowest structure with this stoichiometry is 0.051 eV per atom.

---

[19]
Here is Pm2ZnP3Rh4 after structural relaxation from Alexandria via LeMat-Bulk. Energies are from PBE.

The space group is P-4m2 (No. 115) and the conventional cell measures 4.113, 4.113 and 9.927 Å, with angles of 90.00, 90.00 and 90.00 degrees. The inequivalent atoms are Pm at (0.000, 0.500, 0.248), Zn at (0.500, 0.500, 0.000), P at (0.000, 0.000, 0.000), P at (0.000, 0.500, 0.635), Rh at (0.000, 0.000, 0.500), Rh at (0.000, 0.500, 0.867) and Rh at (0.500, 0.500, 0.500).

The formation energy comes out at -1.0054 eV/atom. The value obtained for the raw total energy is -66.46 eV per formula unit. For the total magnetic moment, the calculation gives 0.00 μB per cell.

---

[20]
Here is LaSnOs after structural relaxation from Alexandria via LeMat-Bulk. Energies are from PBE.

The space group is P1 (No. 1) and the conventional cell measures 4.586, 5.411 and 7.001 Å, with angles of 70.77, 72.52 and 66.93 degrees. The inequivalent atoms are La at (0.000, 0.000, 0.000), La at (0.224, 0.067, 0.450), Sn at (0.445, 0.404, 0.720), Sn at (0.612, 0.551, 0.215), Os at (0.678, 0.819, 0.785) and Os at (0.963, 0.614, 0.482).

The formation energy comes out at -0.2327 eV/atom. The value obtained for the raw total energy is -20.86 eV per formula unit. For the total magnetic moment, the calculation gives 0.00 μB per cell.